1.
NaDy2Fe: optimized geometry, GGA-PBE.

Output
As for the density of states at the Fermi level: 0.82 states/eV per atom. The calculation puts the excess energy over the best structure of this formula in the dataset at 179 meV/atom. The calculation puts the total energy at -4.489 eV per atom.

Unit cell a=10.617 b=10.617 c=10.617 alpha=20.10 beta=20.10 gamma=20.10
Atoms (fractional coordinates):
Na 0.000 0.000 0.000
Dy 0.116 0.116 0.116
Dy 0.884 0.884 0.884
Fe 0.500 0.500 0.500

***

2.
ScMnGaNi: optimized geometry, GGA-PBE.

Output
As for the density of states at the Fermi level: 1.49 states/eV per atom. The calculation puts the total energy at -6.334 eV per atom.

Unit cell a=4.368 b=4.368 c=4.368 alpha=60.00 beta=60.00 gamma=60.00
Atoms (fractional coordinates):
Sc 0.000 0.000 0.000
Mn 0.250 0.250 0.250
Ga 0.500 0.500 0.500
Ni 0.750 0.750 0.750

***

3.
NaCdGa2Au5: optimized geometry, GGA-PBE.

Output
As for the density of states at the Fermi level: 0.26 states/eV per atom. The calculation puts the total energy at -2.821 eV per atom.

Unit cell a=4.903 b=4.903 c=9.233 alpha=90.00 beta=90.00 gamma=90.00
Atoms (fractional coordinates):
Na 0.000 0.000 0.000
Cd 0.000 0.000 0.500
Ga 0.500 0.500 0.270
Ga 0.500 0.500 0.730
Au 0.000 0.500 0.337
Au 0.000 0.500 0.663
Au 0.500 0.000 0.337
Au 0.500 0.000 0.663
Au 0.500 0.500 0.000

***

4.
SbTePd6: optimized geometry, GGA-PBE.

Output
As for the density of states at the Fermi level: 0.35 states/eV per atom. The calculation puts the total energy at -5.027 eV per atom.

Unit cell a=4.962 b=4.962 c=6.590 alpha=111.02 beta=111.02 gamma=92.41
Atoms (fractional coordinates):
Sb 0.000 0.000 0.000
Te 0.500 0.500 0.000
Pd 0.126 0.626 0.251
Pd 0.248 0.248 0.498
Pd 0.374 0.874 0.749
Pd 0.626 0.126 0.251
Pd 0.752 0.752 0.502
Pd 0.874 0.374 0.749

***

5.
K3SrI: optimized geometry, GGA-PBE.

Output
As for the density of states at the Fermi level: 0.92 states/eV per atom. The calculation puts the excess energy over the best structure of this formula in the dataset at 0 meV/atom. The calculation puts the total energy at -1.682 eV per atom.

Unit cell a=6.911 b=6.911 c=6.911 alpha=90.00 beta=90.00 gamma=90.00
Atoms (fractional coordinates):
K 0.000 0.000 0.500
K 0.000 0.500 0.000
K 0.500 0.000 0.000
Sr 0.500 0.500 0.500
I 0.000 0.000 0.000

***

6.
VFeTcGe: optimized geometry, GGA-PBE.

Output
As for the density of states at the Fermi level: 0.29 states/eV per atom. The calculation puts the total energy at -8.411 eV per atom.

Unit cell a=4.178 b=4.178 c=4.178 alpha=60.00 beta=60.00 gamma=60.00
Atoms (fractional coordinates):
V 0.000 0.000 0.000
Fe 0.750 0.750 0.750
Tc 0.250 0.250 0.250
Ge 0.500 0.500 0.500

***

What did the fifth record say?
K3SrI: optimized geometry, GGA-PBE.

Output
As for the density of states at the Fermi level: 0.92 states/eV per atom. The calculation puts the excess energy over the best structure of this formula in the dataset at 0 meV/atom. The calculation puts the total energy at -1.682 eV per atom.

Unit cell a=6.911 b=6.911 c=6.911 alpha=90.00 beta=90.00 gamma=90.00
Atoms (fractional coordinates):
K 0.000 0.000 0.500
K 0.000 0.500 0.000
K 0.500 0.000 0.000
Sr 0.500 0.500 0.500
I 0.000 0.000 0.000

***

- Number 5 is which compound?
  K3SrI